[1]
Here is HfGaIr3 at its PBEsol-relaxed geometry from the Alexandria database. Energies are from meta-GGA SCAN.

```
5
Lattice="4.764 0.000 0.000 0.000 4.764 0.000 0.000 0.000 4.764" Properties=species:S:1:pos:R:3 pbc="T T T"
Hf 0.000 0.000 0.000
Ir 2.382 0.000 0.000
Ir 0.000 2.382 0.000
Ga 2.382 2.382 2.382
Ir 0.000 0.000 2.382
```

Symmetry: No. 221
Crystal system: cubic
Formation energy from the elements (eV per atom): 1.636



[2]
Here is OsPdOF2 at its PBEsol-relaxed geometry from the Alexandria database. Energies are from meta-GGA SCAN.

```
5
Lattice="-0.394 0.163 3.673 -2.693 -3.198 -0.147 3.170 -2.691 0.460" Properties=species:S:1:pos:R:3 pbc="T T T"
O -0.197 0.082 1.837
F 1.585 -1.346 0.230
Pd 0.041 -2.863 1.993
Os 0.000 0.000 0.000
F -1.347 -1.599 -0.073
```

Symmetry: No. 123
E_form (uncorrected) (kJ/mol of atoms): -42.79
Crystal system: tetragonal



[3]
Here is ZnIr2Rh at its PBEsol-relaxed geometry from the Alexandria database. Energies are from meta-GGA SCAN.

```
4
Lattice="2.712 0.000 0.000 0.000 4.634 0.009 -1.356 -0.779 4.371" Properties=species:S:1:pos:R:3 pbc="T T T"
Ir 0.000 0.773 2.209
Rh 0.000 2.317 0.004
Ir 1.356 3.083 2.171
Zn 1.356 0.000 0.000
```

Symmetry: No. 12
Crystal system: monoclinic
Formation energy from the elements (eV per atom): -0.132



Number 1: magnetic moment 0.000 μB per atom, total energy -56.83 eV per atom. Number 2: magnetic moment 0.060 μB per atom, total energy -24.04 eV per atom. Number 3: magnetic moment 0.000 μB per atom, total energy -47.50 eV per atom.